A plane-wave DFT calculation with PBE was carried out for crystalline Ca3Cd6Au5 at its relaxed geometry.

The space group is Pmmn (No. 59, origin choice 2) and the conventional cell measures 4.588, 13.842 and 10.280 Å, with angles of 90.00, 90.00 and 90.00 degrees. The inequivalent atoms are Ca at (0.250, 0.050, 0.248), Ca at (0.250, 0.750, 0.274), Cd at (0.250, 0.074, 0.582), Cd at (0.250, 0.250, 0.034), Cd at (0.250, 0.250, 0.410), Cd at (0.250, 0.595, 0.985), Au at (0.250, 0.094, 0.849), Au at (0.250, 0.631, 0.560) and Au at (0.250, 0.750, 0.793).

Its total energy is -68.93 eV for the cell shown. The calculation puts the calculated formation energy at -0.470 eV per atom.

***

A plane-wave DFT calculation with PBE was carried out for crystalline SrLiZnNi at its relaxed geometry.

The space group is Cm (No. 8) and the conventional cell measures 7.427, 4.324 and 5.902 Å, with angles of 90.00, 115.13 and 90.00 degrees. The inequivalent atoms are Sr at (0.000, 0.000, 0.000), Li at (0.190, 0.000, 0.570), Zn at (0.479, 0.000, 0.437) and Ni at (0.300, 0.500, 0.399).

Its total energy is -22.36 eV for the cell shown. The calculation puts the calculated formation energy at -0.132 eV per atom.

***

no.,spin magnetization (μB per formula unit),volume (A^3/atom),D(E_F) (states/eV/f.u.)
1,0.000,23.31,7.62
2,0.000,21.45,1.97